## 1
DFT (PBE) results for a relaxed structure of CuRuI. Values from VASP.

Output
* crystal system: trigonal
* DOS(E_F): 0.756 states/eV/atom

```
&SYSTEM
  ibrav = 0, nat = 18, ntyp = 3
/
ATOMIC_SPECIES
I 126.90 I.upf
Ru 101.07 Ru.upf
Cu 63.55 Cu.upf
ATOMIC_POSITIONS angstrom
I 2.198 -0.446 21.801
I 3.389 -0.519 11.205
I 0.977 -2.111 0.940
I 1.534 -0.311 15.217
I 2.725 -0.384 4.620
I 3.447 -2.612 25.452
Ru 0.750 -0.152 7.442
Ru 5.076 -0.861 27.941
Ru 2.664 -2.453 17.677
Ru 2.743 -0.557 27.209
Ru 3.934 -0.629 16.612
Ru 1.522 -2.221 6.348
Cu 2.991 -0.607 29.674
Cu 4.182 -0.680 19.077
Cu 1.770 -2.272 8.813
Cu 1.012 -0.205 10.035
Cu 5.337 -0.914 30.534
Cu 2.925 -2.506 20.270
CELL_PARAMETERS angstrom
-0.499 -3.893 -0.029
3.603 1.519 -0.332
3.134 -0.636 31.096
```

=====

## 2
DFT (PBE) results for a relaxed structure of CuRuI. Values from VASP.

Output
* crystal system: triclinic
* DOS(E_F): 0.668 states/eV/atom

```
&SYSTEM
  ibrav = 0, nat = 6, ntyp = 3
/
ATOMIC_SPECIES
I 126.90 I.upf
Ru 101.07 Ru.upf
Cu 63.55 Cu.upf
ATOMIC_POSITIONS angstrom
I -0.209 -4.161 0.420
I 4.255 -3.977 0.143
Ru 4.792 -5.761 2.235
Ru 6.224 -6.869 0.561
Cu 8.888 -5.419 1.874
Cu 7.014 -6.453 3.068
CELL_PARAMETERS angstrom
-1.457 -3.442 1.031
0.021 -2.947 -2.519
9.559 -3.019 3.514
```

=====

Pick the most stable structure from those above. Pick: 1